Record 1
This record from Alexandria describes LiDySc2Se4 after structural relaxation. The functional is PBE.

## Properties
* formation energy (no corrections): -1658.9 meV/atom
* symmetry: P2/m, No. 10
* crystal system: monoclinic

Unit cell a=3.917 b=6.781 c=6.865 alpha=109.06 beta=90.00 gamma=90.00
Fractional positions:
Li1 0.500 0.500 0.000
Dy1 0.000 0.000 0.000
Sc1 0.500 0.000 0.500
Sc2 0.000 0.500 0.500
Se1 0.500 0.261 0.259
Se2 0.500 0.739 0.741
Se3 0.000 0.253 0.743
Se4 0.000 0.747 0.257

---

Record 2
This record from Alexandria describes CaAc2CeTe4 after structural relaxation. The functional is PBE.

## Properties
* formation energy (no corrections): -1477.0 meV/atom
* symmetry: P2/m, No. 10
* crystal system: monoclinic

Unit cell a=4.593 b=8.040 c=8.008 alpha=109.14 beta=90.00 gamma=90.00
Fractional positions:
Ca1 0.500 0.500 0.000
Ac1 0.500 0.000 0.500
Ac2 0.000 0.500 0.500
Ce1 0.000 0.000 0.000
Te1 0.500 0.248 0.233
Te2 0.500 0.752 0.767
Te3 0.000 0.259 0.768
Te4 0.000 0.741 0.232

---

Record 3
This record from Alexandria describes NdDyBr6 after structural relaxation. The functional is PBE.

## Properties
* offset from the most stable computed form: 14.5 meV/atom
* formation energy (no corrections): -1825.8 meV/atom
* symmetry: R-3, No. 148
* crystal system: trigonal

Unit cell a=7.152 b=7.152 c=7.727 alpha=62.43 beta=62.44 gamma=60.00
Fractional positions:
Nd1 0.500 0.500 0.500
Dy1 0.000 0.000 0.000
Br1 0.086 0.403 0.754
Br2 0.756 0.086 0.754
Br3 0.597 0.244 0.246
Br4 0.244 0.914 0.246
Br5 0.914 0.597 0.246
Br6 0.403 0.756 0.754

---

Record 4
This record from Alexandria describes TlZn2NiPt after structural relaxation. The functional is PBE.

## Properties
* calculated formation energy: 0.27 eV per atom
* symmetry: P4/mmm, No. 123
* crystal system: tetragonal

Unit cell a=4.568 b=4.821 c=4.568 alpha=90.00 beta=90.00 gamma=90.00
Fractional positions:
Ni1 0.000 0.000 0.000
Tl1 0.500 0.500 0.500
Zn1 0.000 0.000 0.500
Zn2 0.500 0.000 0.000
Pt1 0.000 0.500 0.000

---

Record 5
This record from Alexandria describes Tb8Nd2Sm3 after structural relaxation. The functional is PBE.

## Properties
* offset from the most stable computed form: 222.7 meV/atom
* calculated formation energy: 0.24 eV per atom
* symmetry: C2/m, No. 12
* crystal system: monoclinic

Unit cell a=5.633 b=7.699 c=11.003 alpha=110.48 beta=90.02 gamma=90.00
Fractional positions:
Tb1 0.000 0.665 0.330
Tb2 0.000 0.335 0.670
Tb3 0.000 0.131 0.262
Tb4 0.000 0.869 0.738
Tb5 0.500 0.604 0.787
Tb6 0.500 0.183 0.787
Tb7 0.500 0.817 0.213
Tb8 0.500 0.396 0.213
Nd1 0.499 0.241 0.483
Nd2 0.501 0.759 0.517
Sm1 0.500 0.000 0.000
Sm2 0.000 0.290 0.000
Sm3 0.000 0.710 0.000

---

Record 6
This record from Alexandria describes LiBeNO2 after structural relaxation. The functional is PBE.

## Properties
* formation energy (no corrections): -173.8 meV/atom
* symmetry: P4/mmm, No. 123
* crystal system: tetragonal

Unit cell a=3.465 b=3.465 c=3.726 alpha=90.00 beta=90.00 gamma=90.00
Fractional positions:
Be1 0.000 0.000 0.000
Li1 0.500 0.500 0.500
O1 0.000 0.500 0.000
O2 0.500 0.000 0.000
N1 0.000 0.000 0.500

---

- Number 6 is which compound?
  LiBeNO2

---

Copy entry 3 word for word.
This record from Alexandria describes NdDyBr6 after structural relaxation. The functional is PBE.

## Properties
* offset from the most stable computed form: 14.5 meV/atom
* formation energy (no corrections): -1825.8 meV/atom
* symmetry: R-3, No. 148
* crystal system: trigonal

Unit cell a=7.152 b=7.152 c=7.727 alpha=62.43 beta=62.44 gamma=60.00
Fractional positions:
Nd1 0.500 0.500 0.500
Dy1 0.000 0.000 0.000
Br1 0.086 0.403 0.754
Br2 0.756 0.086 0.754
Br3 0.597 0.244 0.246
Br4 0.244 0.914 0.246
Br5 0.914 0.597 0.246
Br6 0.403 0.756 0.754